The following is a DFT calculation (SCAN) of Cs3Cu5O4 at its PBEsol-relaxed geometry.

Lattice parameters (Å, degrees): 7.3332 10.2738 14.5147 106.48 90.00 90.00
Fractional positions:
Cs  0.2986  0.7257  0.9153
Cs  0.7014  0.2743  0.0847
Cs  0.0851  0.3192  0.8899
Cs  0.9149  0.6808  0.1101
Cs  0.8282  0.8939  0.9050
Cs  0.6718  0.8939  0.4050
Cs  0.2014  0.7257  0.4153
Cs  0.1718  0.1061  0.0950
Cs  0.7986  0.2743  0.5847
Cs  0.3282  0.1061  0.5950
Cs  0.5851  0.6808  0.6101
Cs  0.4149  0.3192  0.3899
Cu  0.0723  0.0692  0.3737
Cu  0.9347  0.2955  0.3591
Cu  0.5653  0.2955  0.8591
Cu  0.9529  0.5707  0.7664
Cu  0.1810  0.9352  0.7589
Cu  0.9277  0.9308  0.6263
Cu  0.4347  0.7045  0.1409
Cu  0.5723  0.9308  0.1263
Cu  0.4277  0.0692  0.8737
Cu  0.7985  0.5293  0.3753
Cu  0.7015  0.5293  0.8753
Cu  0.4529  0.4293  0.7336
Cu  0.0471  0.4293  0.2336
Cu  0.0653  0.7045  0.6409
Cu  0.3190  0.9352  0.2589
Cu  0.2985  0.4707  0.1247
Cu  0.2015  0.4707  0.6247
Cu  0.5471  0.5707  0.2664
Cu  0.6810  0.0648  0.7411
Cu  0.8190  0.0648  0.2411
O  0.9275  0.6017  0.8948
O  0.3397  0.8633  0.1284
O  0.2031  0.0060  0.8869
O  0.5313  0.5396  0.1367
O  0.7969  0.9940  0.1131
O  0.6603  0.1367  0.8716
O  0.0725  0.3983  0.1052
O  0.4275  0.3983  0.6052
O  0.5725  0.6017  0.3948
O  0.8397  0.1367  0.3716
O  0.4687  0.4604  0.8633
O  0.9687  0.5396  0.6367
O  0.7031  0.9940  0.6131
O  0.2969  0.0060  0.3869
O  0.1603  0.8633  0.6284
O  0.0313  0.4604  0.3633

Results
Final energy   -18.8228 eV per atom
Raw formation energy   -960 meV per atom
M_tot   0.0 Bohr magnetons per cell
Symmetry   P2_1/c, No. 14